! PBE-GGA Mn8In, relaxed; values from VASP
&SYSTEM
  ibrav = 0, nat = 9, ntyp = 2
/
ATOMIC_SPECIES
Mn 54.94 Mn.upf
In 114.82 In.upf
CELL_PARAMETERS angstrom
-3.854 3.854 1.806
3.854 -3.854 1.806
3.854 3.854 -1.806
ATOMIC_POSITIONS angstrom
Mn -1.435 1.435 1.806
Mn 5.019 0.000 0.000
Mn 2.418 2.418 0.000
Mn 0.000 2.689 0.000
Mn 1.435 -1.435 1.806
Mn 0.000 5.019 0.000
Mn 2.689 0.000 0.000
Mn 1.435 1.435 1.806
In 0.000 0.000 0.000
! Formation energy = 0.202 eV/atom
! Energy = -8.253 eV/atom
! Space-group type = I4/mmm
! Size of the total moment = 0.000 μB per cell